# YZnFeSb PBE optimized geometry
# total energy: -5.093 eV/atom
# E above lowest polymorph: 0.0000 eV per atom
# M_tot: 8.03 μB per cell
data_YZnFeSb
_space_group_name_H-M_alt 'F -4 3 m'
_space_group_IT_number 216
_space_group_name_Hall 'F -4 2 3'
_cell_length_a 6.8320
_cell_length_b 6.8320
_cell_length_c 6.8320
_cell_angle_alpha 90.00
_cell_angle_beta 90.00
_cell_angle_gamma 90.00
loop_
_atom_site_label
_atom_site_type_symbol
_atom_site_fract_x
_atom_site_fract_y
_atom_site_fract_z
_atom_site_occupancy
Y1 Y 0.0000 0.0000 0.0000 1
Zn1 Zn 0.2500 0.2500 0.7500 1
Fe1 Fe 0.0000 0.0000 0.5000 1
Sb1 Sb 0.2500 0.2500 0.2500 1